ErZrMn4 (PBE, optimized geometry); ΔE_f = -0.04 eV/atom; total magnetization = 2.30 μB/cell; space group = No. 216
1.0
-2.9641 3.9804 -0.7375
-4.8771 -0.2568 1.1492
-1.7897 2.5572 3.9282
Mn Zr Er
4 1 1
Direct
0.6247 0.6247 0.1260
0.6247 0.1260 0.6247
0.6247 0.6247 0.6247
0.1260 0.6247 0.6247
0.2500 0.2500 0.2500
0.0000 0.0000 0.0000



La3Ge2Cl (PBE, optimized geometry); total magnetization = 0.00 μB/cell; uncorrected formation energy = -1201.0 meV per atom; space group = No. 71; energy above the most stable polymorph in this dataset = 0 meV per atom
1.0
-1.9353 -0.1609 -3.9276
-3.8424 -4.3109 2.0700
-1.3495 6.9242 2.8251
La Ge Cl
3 2 1
Direct
0.8257 0.3257 0.1515
0.1743 0.6743 0.8485
0.5000 0.0000 0.5000
0.8373 0.8373 0.1746
0.1627 0.1627 0.8254
0.5000 0.5000 0.5000



NpURu2 (PBE, optimized geometry); ΔE_f = -0.11 eV/atom; total magnetization = 0.00 μB/cell; space group = No. 11
1.0
-1.6379 1.0467 -3.9162
-2.2735 -1.5005 0.5498
-7.5145 7.1634 5.0575
Np U Ru
2 2 4
Direct
0.2500 0.3128 0.1843
0.7500 0.6872 0.8157
0.7500 0.1878 0.3131
0.2500 0.8122 0.6869
0.7500 0.6637 0.5546
0.2500 0.3363 0.4454
0.2500 0.8355 0.9462
0.7500 0.1645 0.0538



Th8Sb2Ir3 (PBE, optimized geometry); total magnetization = 0.00 μB/cell; uncorrected formation energy = -507.1 meV per atom; space group = No. 12
1.0
7.1071 0.0000 0.2511
0.0000 8.1165 0.0000
-2.5970 -4.0583 7.5775
Th Sb Ir
8 2 3
Direct
0.9125 0.6090 0.2181
0.0875 0.3910 0.7819
0.8995 0.1001 0.2002
0.1005 0.8999 0.7998
0.5973 0.6417 0.7913
0.5973 0.1496 0.7913
0.4027 0.8504 0.2087
0.4027 0.3583 0.2087
0.3359 0.2485 0.4970
0.6641 0.7515 0.5030
0.5000 0.0000 0.0000
0.0000 0.2581 0.0000
0.0000 0.7419 0.0000



Zn2Ga2Au7 (PBE, optimized geometry); ΔE_f = -0.13 eV/atom; total magnetization = 0.00 μB/cell; space group = No. 44; energy above the most stable polymorph in this dataset = 0 meV per atom
1.0
0.7586 2.5824 -3.4243
4.5002 -4.8591 -2.6675
-7.2846 -1.5103 0.0172
Zn Ga Au
2 2 7
Direct
0.0000 0.6383 0.0000
0.5000 0.3250 0.0000
0.2969 0.9129 0.5937
0.7031 0.3191 0.4063
0.1568 0.0643 0.3137
0.1342 0.4616 0.2683
0.5000 0.9501 0.0000
0.3608 0.4802 0.7216
0.6392 0.7586 0.2784
0.8432 0.7506 0.6863
0.8658 0.1933 0.7317



SmErGa6 (PBE, optimized geometry); ΔE_f = -0.53 eV/atom; total magnetization = 0.00 μB/cell; space group = No. 187
1.0
-1.7926 3.7413 1.9811
-3.9918 -3.6299 3.2429
5.6364 1.4211 2.4164
Sm Er Ga
1 1 6
Direct
0.5000 0.4167 0.5833
0.0000 0.0832 0.9168
0.0000 0.0399 0.3951
0.0000 0.6049 0.9601
0.0000 0.6050 0.3950
0.5000 0.4543 0.1021
0.5000 0.8979 0.5457
0.5000 0.8978 0.1022



Nb2FeCl6 (PBE, optimized geometry); total magnetization = 5.08 μB/cell; uncorrected formation energy = -789.6 meV per atom; space group = No. 15
1.0
5.6775 0.4362 0.4223
2.3435 8.3350 0.3030
2.3435 0.5729 8.3208
Nb Fe Cl
4 2 12
Direct
0.9666 0.7071 0.8342
0.5334 0.1658 0.2929
0.0334 0.2929 0.1658
0.4666 0.8342 0.7071
0.2500 0.1279 0.8721
0.7500 0.8721 0.1279
0.2681 0.7228 0.5552
0.2319 0.4448 0.2772
0.7319 0.2772 0.4448
0.7681 0.5552 0.7228
0.7761 0.8769 0.4010
0.7239 0.5990 0.1231
0.2239 0.1231 0.5990
0.2761 0.4010 0.8769
0.2002 0.7865 0.9975
0.2998 0.0025 0.2135
0.7998 0.2135 0.0025
0.7002 0.9975 0.7865



Li4TlHg3 (PBE, optimized geometry); ΔE_f = -0.34 eV/atom; total magnetization = 0.00 μB/cell; space group = No. 123
1.0
3.3474 0.0000 0.0000
0.0000 3.3474 0.0000
0.0000 0.0000 13.6065
Tl Hg Li
1 3 4
Direct
0.5000 0.5000 0.0000
0.5000 0.5000 0.2600
0.5000 0.5000 0.5000
0.5000 0.5000 0.7400
0.0000 0.0000 0.8583
0.0000 0.0000 0.1417
0.0000 0.0000 0.3800
0.0000 0.0000 0.6200



KZn4Sn12 (PBE, optimized geometry); ΔE_f = 0.04 eV/atom; total magnetization = 0.00 μB/cell; space group = No. 204
1.0
-7.7923 -2.0979 -2.4449
2.6396 -5.3997 5.9139
-0.0538 7.8190 3.1557
K Zn Sn
1 4 12
Direct
0.0000 0.0000 0.0000
0.0000 0.5000 0.0000
0.5000 0.0000 0.0000
0.5000 0.5000 0.5000
0.0000 0.0000 0.5000
0.8420 0.3499 0.1918
0.3499 0.5079 0.1580
0.8082 0.1580 0.6501
0.3499 0.1918 0.8420
0.1918 0.8420 0.3499
0.6501 0.4921 0.8420
0.5079 0.1580 0.3499
0.4921 0.8420 0.6501
0.6501 0.8082 0.1580
0.8420 0.6501 0.4921
0.1580 0.3499 0.5079
0.1580 0.6501 0.8082



CaScSb2Os (PBE, optimized geometry); total magnetization = 2.41 μB/cell; uncorrected formation energy = 1755.5 meV per atom; space group = No. 123; energy above the most stable polymorph in this dataset = 494 meV per atom
1.0
-2.1877 4.1630 2.6882
-4.2366 -0.7655 -2.2624
-1.5134 -3.3594 3.9708
Sc Sb Ca Os
1 2 1 1
Direct
0.0000 0.5000 0.0000
0.0000 0.0000 0.5000
0.5000 0.0000 0.0000
0.0000 0.0000 0.0000
0.5000 0.5000 0.5000



Ba2YVCu (PBE, optimized geometry); ΔE_f = 0.71 eV/atom; total magnetization = 4.27 μB/cell; space group = No. 123
1.0
6.0865 0.0000 0.0000
0.0000 5.4024 0.0000
0.0000 0.0000 6.0865
Y Ba Cu V
1 2 1 1
Direct
0.0000 0.5000 0.0000
0.0000 0.0000 0.5000
0.5000 0.0000 0.0000
0.0000 0.0000 0.0000
0.5000 0.5000 0.5000



RbPrSe2 (PBE, optimized geometry); total magnetization = 0.00 μB/cell; uncorrected formation energy = -1731.8 meV per atom; space group = No. 166
1.0
-5.3841 -5.1839 -3.8835
-1.3757 -6.5100 -5.1644
-2.9741 -7.7800 -1.2531
Pr Se Rb
1 2 1
Direct
0.5000 0.5000 0.5000
0.2340 0.2340 0.2340
0.7660 0.7660 0.7660
0.0000 0.0000 0.0000



LuPaTcIr (PBE, optimized geometry); ΔE_f = -0.52 eV/atom; total magnetization = 0.00 μB/cell; space group = No. 216
1.0
4.8269 0.0000 0.0000
2.4134 4.1802 0.0000
2.4134 1.3934 3.9411
Pa Lu Tc Ir
1 1 1 1
Direct
0.7500 0.7500 0.7500
0.2500 0.2500 0.2500
0.5000 0.5000 0.5000
0.0000 0.0000 0.0000



UVGeOs (PBE, optimized geometry); ΔE_f = 0.27 eV/atom; total magnetization = 3.09 μB/cell; space group = No. 216
1.0
-3.7521 2.4067 -1.0313
-3.8270 -0.5710 2.4417
-1.4368 3.3130 2.8095
Os Ge U V
1 1 1 1
Direct
0.5000 0.5000 0.5000
0.2500 0.2500 0.2500
0.0000 0.0000 0.0000
0.7500 0.7500 0.7500



CaZrRh2 (PBE, optimized geometry); ΔE_f = -0.08 eV/atom; total magnetization = 0.00 μB/cell; space group = No. 216; energy above the most stable polymorph in this dataset = 609 meV per atom
1.0
-2.3925 2.9780 2.7037
-1.7494 -1.4444 4.0934
1.8618 1.5313 4.0114
Ca Rh Zr
1 2 1
Direct
0.5000 0.5000 0.5000
0.0000 0.0000 0.0000
0.2500 0.2500 0.2500
0.7500 0.7500 0.7500



CsPdRh3 (PBE, optimized geometry); ΔE_f = 1.25 eV/atom; total magnetization = 3.35 μB/cell; space group = No. 221; energy above the most stable polymorph in this dataset = 0 meV per atom
1.0
-2.7510 -3.1038 2.7179
3.3298 -3.5990 -0.7397
2.4356 1.4147 4.0810
Cs Rh Pd
1 3 1
Direct
0.5000 0.5000 0.5000
0.0000 0.5000 0.0000
0.0000 0.0000 0.5000
0.5000 0.0000 0.0000
0.0000 0.0000 0.0000



ScInAu2C (PBE, optimized geometry); ΔE_f = 1.74 eV/atom; total magnetization = 2.04 μB/cell; space group = No. 123
1.0
-2.0441 2.4999 4.0085
2.3056 -4.0019 3.6715
4.2745 2.8385 0.4096
Sc C Au In
1 1 2 1
Direct
0.0000 0.0000 0.0000
0.5000 0.5000 0.5000
0.0000 0.0000 0.5000
0.5000 0.0000 0.0000
0.0000 0.5000 0.0000



CsSbPS2 (PBE, optimized geometry); total magnetization = 0.02 μB/cell; uncorrected formation energy = 1549.5 meV per atom; space group = No. 123
1.0
5.2500 0.0000 0.0000
0.0000 5.2500 0.0000
0.0000 0.0000 5.7454
Cs Sb S P
1 1 2 1
Direct
0.0000 0.0000 0.0000
0.5000 0.5000 0.5000
0.0000 0.5000 0.0000
0.5000 0.0000 0.0000
0.0000 0.0000 0.5000



AgBi3S4 (PBE, optimized geometry); total magnetization = 0.00 μB/cell; uncorrected formation energy = -122.9 meV per atom; space group = No. 31
1.0
5.6895 0.0000 0.0000
0.0000 7.0170 0.0000
0.0000 0.0000 11.0026
Ag Bi S
2 6 8
Direct
0.1003 0.2406 0.0000
0.6003 0.7594 0.5000
0.5957 0.9696 0.0000
0.0694 0.7204 0.2487
0.5694 0.2796 0.2513
0.0957 0.0304 0.5000
0.5694 0.2796 0.7487
0.0694 0.7204 0.7513
0.0786 0.8559 0.0000
0.5456 0.3422 0.0000
0.0281 0.3357 0.2234
0.5281 0.6643 0.2766
0.0456 0.6578 0.5000
0.5786 0.1441 0.5000
0.5281 0.6643 0.7234
0.0281 0.3357 0.7766



TcTe2Se (PBE, optimized geometry); total magnetization = 0.00 μB/cell; uncorrected formation energy = 146.9 meV per atom; space group = No. 12
1.0
4.1347 0.0219 -0.0701
2.8328 3.0119 -0.0701
-0.6374 -0.2775 8.1499
Se Tc Te
1 1 2
Direct
0.2500 0.2500 0.2500
0.7500 0.7500 0.7500
0.0698 0.0698 0.9341
0.4302 0.4302 0.5659



ScInGaRh (PBE, optimized geometry); ΔE_f = -0.52 eV/atom; total magnetization = 0.00 μB/cell; space group = No. 216
1.0
4.6290 0.0000 0.0000
2.3145 4.0088 0.0000
2.3145 1.3363 3.7796
Sc Rh Ga In
1 1 1 1
Direct
0.7500 0.7500 0.7500
0.2500 0.2500 0.2500
0.0000 0.0000 0.0000
0.5000 0.5000 0.5000



Nb2MoPt (PBE, optimized geometry); ΔE_f = 0.42 eV/atom; total magnetization = 0.00 μB/cell; space group = No. 122
1.0
3.9335 0.0000 0.0000
0.0000 3.9335 0.0000
1.9668 1.9668 9.4682
Mo Nb Pt
2 4 2
Direct
0.5000 0.5000 0.0000
0.2500 0.7500 0.5000
0.6200 0.1250 0.2500
0.1300 0.6250 0.2500
0.3750 0.3800 0.7500
0.8750 0.8700 0.7500
0.0000 0.0000 0.0000
0.7500 0.2500 0.5000



La3YHo6Er2 (PBE, optimized geometry); ΔE_f = 0.03 eV/atom; total magnetization = 0.00 μB/cell; space group = No. 12
1.0
6.2091 -0.0012 0.0003
-3.1041 5.3775 0.0003
-1.0358 -1.7936 11.6578
La Y Ho Er
3 1 6 2
Direct
0.1667 0.8333 0.5000
0.8333 0.1667 0.5000
0.5000 0.5000 0.5000
0.0000 0.0000 0.0000
0.9189 0.5847 0.7562
0.7469 0.7469 0.2438
0.0811 0.4153 0.2438
0.5847 0.9189 0.7562
0.2531 0.2531 0.7562
0.4153 0.0811 0.2438
0.3333 0.6667 0.0000
0.6667 0.3333 0.0000



Ta2ReW (PBE, optimized geometry); ΔE_f = -0.08 eV/atom; total magnetization = 0.00 μB/cell; space group = No. 35
1.0
2.8092 -0.0068 0.0000
-0.9826 2.6318 0.0000
0.0000 0.0000 9.0754
Re Ta W
1 2 1
Direct
0.5000 0.5000 0.7464
0.0000 0.0000 0.9909
0.5000 0.5000 0.2549
0.0000 0.0000 0.5078



AcSmLuHg (PBE, optimized geometry); ΔE_f = 0.07 eV/atom; total magnetization = 0.01 μB/cell; space group = No. 216
1.0
5.5790 0.0000 0.0000
2.7895 4.8315 0.0000
2.7895 1.6105 4.5552
Ac Lu Hg Sm
1 1 1 1
Direct
0.2500 0.2500 0.2500
0.5000 0.5000 0.5000
0.7500 0.7500 0.7500
0.0000 0.0000 0.0000



Calculated values (eV/atom) of raw total energy for the records, taken in order: -8.335 -5.512 -10.802 -7.752 -2.994 -3.965 -5.199 -1.707 -3.149 -3.806 -3.992 -4.911 -8.827 -8.789 -6.391 -4.367 -3.233 -2.179 -3.998 -4.887 -5.382 -8.831 -4.794 -12.360 -3.345.
Calculated values (states/eV/cell) of DOS(E_F) for the records, taken in order: 7.4 2.3 11.3 16.0 3.0 2.9 9.2 2.4 6.5 7.7 5.9 0.0 3.6 6.1 4.5 6.6 3.7 4.3 2.5 2.8 1.6 3.5 17.2 2.0 6.9.